#1
# LiTaCuBi PBE optimized geometry
# Spin magnetization, μB per atom: 0.0840
# Density, g/cm3: 10.400
data_LiTaCuBi
_cell_length_a 6.650
_cell_length_b 6.650
_cell_length_c 6.650
_cell_angle_alpha 90.00
_cell_angle_beta 90.00
_cell_angle_gamma 90.00
_symmetry_space_group_name_H-M 'F -4 3 m'
_symmetry_Int_Tables_number 216
_symmetry_space_group_name_Hall 'F -4 2 3'
loop_
_atom_site_label
_atom_site_type_symbol
_atom_site_fract_x
_atom_site_fract_y
_atom_site_fract_z
Li1 Li 0.000 0.000 0.000
Ta1 Ta 0.250 0.250 0.250
Cu1 Cu 0.250 0.250 0.750
Bi1 Bi 0.000 0.000 0.500

#2
# LiTaCuBi PBE optimized geometry
# Spin magnetization, μB per atom: 0.2786
# Density, g/cm3: 10.650
data_LiTaCuBi
_cell_length_a 6.597
_cell_length_b 6.597
_cell_length_c 6.597
_cell_angle_alpha 90.00
_cell_angle_beta 90.00
_cell_angle_gamma 90.00
_symmetry_space_group_name_H-M 'F -4 3 m'
_symmetry_Int_Tables_number 216
_symmetry_space_group_name_Hall 'F -4 2 3'
loop_
_atom_site_label
_atom_site_type_symbol
_atom_site_fract_x
_atom_site_fract_y
_atom_site_fract_z
Li1 Li 0.000 0.000 0.000
Ta1 Ta 0.250 0.250 0.750
Cu1 Cu 0.000 0.000 0.500
Bi1 Bi 0.250 0.250 0.250

The most stable of them is #2.

#1
# LiCuBiW PBE optimized geometry
# Spin magnetization, μB per atom: 0.4104
# Density, g/cm3: 11.286
data_LiCuBiW
_cell_length_a 6.485
_cell_length_b 6.485
_cell_length_c 6.485
_cell_angle_alpha 90.00
_cell_angle_beta 90.00
_cell_angle_gamma 90.00
_symmetry_space_group_name_H-M 'F -4 3 m'
_symmetry_Int_Tables_number 216
_symmetry_space_group_name_Hall 'F -4 2 3'
loop_
_atom_site_label
_atom_site_type_symbol
_atom_site_fract_x
_atom_site_fract_y
_atom_site_fract_z
Li1 Li 0.000 0.000 0.000
Cu1 Cu 0.000 0.000 0.500
Bi1 Bi 0.250 0.250 0.250
W1 W 0.250 0.250 0.750

#2
# LiCuBiW PBE optimized geometry
# Spin magnetization, μB per atom: 0.0385
# Density, g/cm3: 11.115
data_LiCuBiW
_cell_length_a 6.518
_cell_length_b 6.518
_cell_length_c 6.518
_cell_angle_alpha 90.00
_cell_angle_beta 90.00
_cell_angle_gamma 90.00
_symmetry_space_group_name_H-M 'F -4 3 m'
_symmetry_Int_Tables_number 216
_symmetry_space_group_name_Hall 'F -4 2 3'
loop_
_atom_site_label
_atom_site_type_symbol
_atom_site_fract_x
_atom_site_fract_y
_atom_site_fract_z
Li1 Li 0.000 0.000 0.000
Cu1 Cu 0.250 0.250 0.750
Bi1 Bi 0.000 0.000 0.500
W1 W 0.250 0.250 0.250

The most stable of them is #2.

#1
# LiZrCuBi PBE optimized geometry
# Spin magnetization, μB per atom: 0.1488
# Density, g/cm3: 7.813
data_LiZrCuBi
_cell_length_a 6.805
_cell_length_b 6.805
_cell_length_c 6.805
_cell_angle_alpha 90.00
_cell_angle_beta 90.00
_cell_angle_gamma 90.00
_symmetry_space_group_name_H-M 'F -4 3 m'
_symmetry_Int_Tables_number 216
_symmetry_space_group_name_Hall 'F -4 2 3'
loop_
_atom_site_label
_atom_site_type_symbol
_atom_site_fract_x
_atom_site_fract_y
_atom_site_fract_z
Li1 Li 0.000 0.000 0.000
Zr1 Zr 0.250 0.250 0.250
Cu1 Cu 0.250 0.250 0.750
Bi1 Bi 0.000 0.000 0.500

#2
# LiZrCuBi PBE optimized geometry
# Spin magnetization, μB per atom: 0.0045
# Density, g/cm3: 7.837
data_LiZrCuBi
_cell_length_a 6.798
_cell_length_b 6.798
_cell_length_c 6.798
_cell_angle_alpha 90.00
_cell_angle_beta 90.00
_cell_angle_gamma 90.00
_symmetry_space_group_name_H-M 'F -4 3 m'
_symmetry_Int_Tables_number 216
_symmetry_space_group_name_Hall 'F -4 2 3'
loop_
_atom_site_label
_atom_site_type_symbol
_atom_site_fract_x
_atom_site_fract_y
_atom_site_fract_z
Li1 Li 0.000 0.000 0.000
Zr1 Zr 0.000 0.000 0.500
Cu1 Cu 0.250 0.250 0.250
Bi1 Bi 0.250 0.250 0.750

The most stable of them is #2.

#1
# LuCuBiPd PBE optimized geometry
# Spin magnetization, μB per atom: 0.0004
# Density, g/cm3: 11.288
data_LuCuBiPd
_cell_length_a 6.882
_cell_length_b 6.882
_cell_length_c 6.882
_cell_angle_alpha 90.00
_cell_angle_beta 90.00
_cell_angle_gamma 90.00
_symmetry_space_group_name_H-M 'F -4 3 m'
_symmetry_Int_Tables_number 216
_symmetry_space_group_name_Hall 'F -4 2 3'
loop_
_atom_site_label
_atom_site_type_symbol
_atom_site_fract_x
_atom_site_fract_y
_atom_site_fract_z
Lu1 Lu 0.000 0.000 0.000
Cu1 Cu 0.000 0.000 0.500
Bi1 Bi 0.250 0.250 0.250
Pd1 Pd 0.250 0.250 0.750

#2
# LuCuBiPd PBE optimized geometry
# Spin magnetization, μB per atom: 0.0001
# Density, g/cm3: 11.612
data_LuCuBiPd
_cell_length_a 6.817
_cell_length_b 6.817
_cell_length_c 6.817
_cell_angle_alpha 90.00
_cell_angle_beta 90.00
_cell_angle_gamma 90.00
_symmetry_space_group_name_H-M 'F -4 3 m'
_symmetry_Int_Tables_number 216
_symmetry_space_group_name_Hall 'F -4 2 3'
loop_
_atom_site_label
_atom_site_type_symbol
_atom_site_fract_x
_atom_site_fract_y
_atom_site_fract_z
Lu1 Lu 0.000 0.000 0.000
Cu1 Cu 0.250 0.250 0.750
Bi1 Bi 0.000 0.000 0.500
Pd1 Pd 0.250 0.250 0.250

The most stable of them is #2.

#1
# LuCuBiPt PBE optimized geometry
# Spin magnetization, μB per atom: 0.0001
# Density, g/cm3: 13.244
data_LuCuBiPt
_cell_length_a 6.856
_cell_length_b 6.856
_cell_length_c 6.856
_cell_angle_alpha 90.00
_cell_angle_beta 90.00
_cell_angle_gamma 90.00
_symmetry_space_group_name_H-M 'F -4 3 m'
_symmetry_Int_Tables_number 216
_symmetry_space_group_name_Hall 'F -4 2 3'
loop_
_atom_site_label
_atom_site_type_symbol
_atom_site_fract_x
_atom_site_fract_y
_atom_site_fract_z
Lu1 Lu 0.000 0.000 0.000
Cu1 Cu 0.000 0.000 0.500
Bi1 Bi 0.250 0.250 0.250
Pt1 Pt 0.250 0.250 0.750

#2
# LuCuBiPt PBE optimized geometry
# Spin magnetization, μB per atom: 0.0002
# Density, g/cm3: 13.346
data_LuCuBiPt
_cell_length_a 6.839
_cell_length_b 6.839
_cell_length_c 6.839
_cell_angle_alpha 90.00
_cell_angle_beta 90.00
_cell_angle_gamma 90.00
_symmetry_space_group_name_H-M 'F -4 3 m'
_symmetry_Int_Tables_number 216
_symmetry_space_group_name_Hall 'F -4 2 3'
loop_
_atom_site_label
_atom_site_type_symbol
_atom_site_fract_x
_atom_site_fract_y
_atom_site_fract_z
Lu1 Lu 0.000 0.000 0.000
Cu1 Cu 0.250 0.250 0.750
Bi1 Bi 0.000 0.000 0.500
Pt1 Pt 0.250 0.250 0.250

The most stable of them is #2.

#1
# LuCuReBi PBE optimized geometry
# Spin magnetization, μB per atom: 0.1084
# Density, g/cm3: 13.348
data_LuCuReBi
_cell_length_a 6.807
_cell_length_b 6.807
_cell_length_c 6.807
_cell_angle_alpha 90.00
_cell_angle_beta 90.00
_cell_angle_gamma 90.00
_symmetry_space_group_name_H-M 'F -4 3 m'
_symmetry_Int_Tables_number 216
_symmetry_space_group_name_Hall 'F -4 2 3'
loop_
_atom_site_label
_atom_site_type_symbol
_atom_site_fract_x
_atom_site_fract_y
_atom_site_fract_z
Lu1 Lu 0.000 0.000 0.000
Cu1 Cu 0.000 0.000 0.500
Re1 Re 0.250 0.250 0.250
Bi1 Bi 0.250 0.250 0.750

#2
# LuCuReBi PBE optimized geometry
# Spin magnetization, μB per atom: 0.0026
# Density, g/cm3: 13.560
data_LuCuReBi
_cell_length_a 6.771
_cell_length_b 6.771
_cell_length_c 6.771
_cell_angle_alpha 90.00
_cell_angle_beta 90.00
_cell_angle_gamma 90.00
_symmetry_space_group_name_H-M 'F -4 3 m'
_symmetry_Int_Tables_number 216
_symmetry_space_group_name_Hall 'F -4 2 3'
loop_
_atom_site_label
_atom_site_type_symbol
_atom_site_fract_x
_atom_site_fract_y
_atom_site_fract_z
Lu1 Lu 0.000 0.000 0.000
Cu1 Cu 0.250 0.250 0.750
Re1 Re 0.250 0.250 0.250
Bi1 Bi 0.000 0.000 0.500

The most stable of them is #2.

#1
# LuZnCuBi PBE optimized geometry
# Spin magnetization, μB per atom: 0.0002
# Density, g/cm3: 9.925
data_LuZnCuBi
_cell_length_a 7.002
_cell_length_b 7.002
_cell_length_c 7.002
_cell_angle_alpha 90.00
_cell_angle_beta 90.00
_cell_angle_gamma 90.00
_symmetry_space_group_name_H-M 'F -4 3 m'
_symmetry_Int_Tables_number 216
_symmetry_space_group_name_Hall 'F -4 2 3'
loop_
_atom_site_label
_atom_site_type_symbol
_atom_site_fract_x
_atom_site_fract_y
_atom_site_fract_z
Lu1 Lu 0.000 0.000 0.000
Zn1 Zn 0.250 0.250 0.750
Cu1 Cu 0.000 0.000 0.500
Bi1 Bi 0.250 0.250 0.250

#2
# LuZnCuBi PBE optimized geometry
# Spin magnetization, μB per atom: 0.0007
# Density, g/cm3: 10.069
data_LuZnCuBi
_cell_length_a 6.968
_cell_length_b 6.968
_cell_length_c 6.968
_cell_angle_alpha 90.00
_cell_angle_beta 90.00
_cell_angle_gamma 90.00
_symmetry_space_group_name_H-M 'F -4 3 m'
_symmetry_Int_Tables_number 216
_symmetry_space_group_name_Hall 'F -4 2 3'
loop_
_atom_site_label
_atom_site_type_symbol
_atom_site_fract_x
_atom_site_fract_y
_atom_site_fract_z
Lu1 Lu 0.000 0.000 0.000
Zn1 Zn 0.250 0.250 0.250
Cu1 Cu 0.250 0.250 0.750
Bi1 Bi 0.000 0.000 0.500

The most stable of them is #2.

#1
# LuZrCuBi PBE optimized geometry
# Spin magnetization, μB per atom: 0.0126
# Density, g/cm3: 9.895
data_LuZrCuBi
_cell_length_a 7.124
_cell_length_b 7.124
_cell_length_c 7.124
_cell_angle_alpha 90.00
_cell_angle_beta 90.00
_cell_angle_gamma 90.00
_symmetry_space_group_name_H-M 'F -4 3 m'
_symmetry_Int_Tables_number 216
_symmetry_space_group_name_Hall 'F -4 2 3'
loop_
_atom_site_label
_atom_site_type_symbol
_atom_site_fract_x
_atom_site_fract_y
_atom_site_fract_z
Lu1 Lu 0.000 0.000 0.000
Zr1 Zr 0.250 0.250 0.750
Cu1 Cu 0.250 0.250 0.250
Bi1 Bi 0.000 0.000 0.500

#2
# LuZrCuBi PBE optimized geometry
# Spin magnetization, μB per atom: 0.0033
# Density, g/cm3: 10.074
data_LuZrCuBi
_cell_length_a 7.082
_cell_length_b 7.082
_cell_length_c 7.082
_cell_angle_alpha 90.00
_cell_angle_beta 90.00
_cell_angle_gamma 90.00
_symmetry_space_group_name_H-M 'F -4 3 m'
_symmetry_Int_Tables_number 216
_symmetry_space_group_name_Hall 'F -4 2 3'
loop_
_atom_site_label
_atom_site_type_symbol
_atom_site_fract_x
_atom_site_fract_y
_atom_site_fract_z
Lu1 Lu 0.000 0.000 0.000
Zr1 Zr 0.000 0.000 0.500
Cu1 Cu 0.250 0.250 0.250
Bi1 Bi 0.250 0.250 0.750

The most stable of them is #2.

#1
# MgZnCuBi PBE optimized geometry
# Density, g/cm3: 7.479
data_MgZnCuBi
_cell_length_a 6.852
_cell_length_b 6.852
_cell_length_c 6.852
_cell_angle_alpha 90.00
_cell_angle_beta 90.00
_cell_angle_gamma 90.00
_symmetry_space_group_name_H-M 'F -4 3 m'
_symmetry_Int_Tables_number 216
_symmetry_space_group_name_Hall 'F -4 2 3'
loop_
_atom_site_label
_atom_site_type_symbol
_atom_site_fract_x
_atom_site_fract_y
_atom_site_fract_z
Mg1 Mg 0.000 0.000 0.000
Zn1 Zn 0.250 0.250 0.750
Cu1 Cu 0.250 0.250 0.250
Bi1 Bi 0.000 0.000 0.500

#2
# MgZnCuBi PBE optimized geometry
# Density, g/cm3: 7.509
data_MgZnCuBi
_cell_length_a 6.843
_cell_length_b 6.843
_cell_length_c 6.843
_cell_angle_alpha 90.00
_cell_angle_beta 90.00
_cell_angle_gamma 90.00
_symmetry_space_group_name_H-M 'F -4 3 m'
_symmetry_Int_Tables_number 216
_symmetry_space_group_name_Hall 'F -4 2 3'
loop_
_atom_site_label
_atom_site_type_symbol
_atom_site_fract_x
_atom_site_fract_y
_atom_site_fract_z
Mg1 Mg 0.000 0.000 0.000
Zn1 Zn 0.250 0.250 0.750
Cu1 Cu 0.000 0.000 0.500
Bi1 Bi 0.250 0.250 0.250

The most stable of them is #1.

#1
# YCuBiMo PBE optimized geometry
# Spin magnetization, μB per atom: 0.0000
# Density, g/cm3: 9.298
data_YCuBiMo
_cell_length_a 6.888
_cell_length_b 6.888
_cell_length_c 6.888
_cell_angle_alpha 90.00
_cell_angle_beta 90.00
_cell_angle_gamma 90.00
_symmetry_space_group_name_H-M 'F -4 3 m'
_symmetry_Int_Tables_number 216
_symmetry_space_group_name_Hall 'F -4 2 3'
loop_
_atom_site_label
_atom_site_type_symbol
_atom_site_fract_x
_atom_site_fract_y
_atom_site_fract_z
Y1 Y 0.000 0.000 0.000
Cu1 Cu 0.250 0.250 0.750
Bi1 Bi 0.000 0.000 0.500
Mo1 Mo 0.250 0.250 0.250

#2
# YCuBiMo PBE optimized geometry
# Spin magnetization, μB per atom: 0.7063
# Density, g/cm3: 8.628
data_YCuBiMo
_cell_length_a 7.061
_cell_length_b 7.061
_cell_length_c 7.061
_cell_angle_alpha 90.00
_cell_angle_beta 90.00
_cell_angle_gamma 90.00
_symmetry_space_group_name_H-M 'F -4 3 m'
_symmetry_Int_Tables_number 216
_symmetry_space_group_name_Hall 'F -4 2 3'
loop_
_atom_site_label
_atom_site_type_symbol
_atom_site_fract_x
_atom_site_fract_y
_atom_site_fract_z
Y1 Y 0.000 0.000 0.000
Cu1 Cu 0.000 0.000 0.500
Bi1 Bi 0.250 0.250 0.250
Mo1 Mo 0.250 0.250 0.750

The most stable of them is #1.

#1
# ZnCuBiMo PBE optimized geometry
# Spin magnetization, μB per atom: 0.0186
# Density, g/cm3: 10.234
data_ZnCuBiMo
_cell_length_a 6.555
_cell_length_b 6.555
_cell_length_c 6.555
_cell_angle_alpha 90.00
_cell_angle_beta 90.00
_cell_angle_gamma 90.00
_symmetry_space_group_name_H-M 'F -4 3 m'
_symmetry_Int_Tables_number 216
_symmetry_space_group_name_Hall 'F -4 2 3'
loop_
_atom_site_label
_atom_site_type_symbol
_atom_site_fract_x
_atom_site_fract_y
_atom_site_fract_z
Zn1 Zn 0.000 0.000 0.000
Cu1 Cu 0.250 0.250 0.750
Bi1 Bi 0.000 0.000 0.500
Mo1 Mo 0.250 0.250 0.250

#2
# ZnCuBiMo PBE optimized geometry
# Spin magnetization, μB per atom: 0.7227
# Density, g/cm3: 9.668
data_ZnCuBiMo
_cell_length_a 6.680
_cell_length_b 6.680
_cell_length_c 6.680
_cell_angle_alpha 90.00
_cell_angle_beta 90.00
_cell_angle_gamma 90.00
_symmetry_space_group_name_H-M 'F -4 3 m'
_symmetry_Int_Tables_number 216
_symmetry_space_group_name_Hall 'F -4 2 3'
loop_
_atom_site_label
_atom_site_type_symbol
_atom_site_fract_x
_atom_site_fract_y
_atom_site_fract_z
Zn1 Zn 0.000 0.000 0.000
Cu1 Cu 0.000 0.000 0.500
Bi1 Bi 0.250 0.250 0.250
Mo1 Mo 0.250 0.250 0.750

The most stable of them is #1.

#1
# ZrCuBiMo PBE optimized geometry
# Spin magnetization, μB per atom: 0.2092
# Density, g/cm3: 10.155
data_ZrCuBiMo
_cell_length_a 6.699
_cell_length_b 6.699
_cell_length_c 6.699
_cell_angle_alpha 90.00
_cell_angle_beta 90.00
_cell_angle_gamma 90.00
_symmetry_space_group_name_H-M 'F -4 3 m'
_symmetry_Int_Tables_number 216
_symmetry_space_group_name_Hall 'F -4 2 3'
loop_
_atom_site_label
_atom_site_type_symbol
_atom_site_fract_x
_atom_site_fract_y
_atom_site_fract_z
Zr1 Zr 0.000 0.000 0.000
Cu1 Cu 0.250 0.250 0.750
Bi1 Bi 0.250 0.250 0.250
Mo1 Mo 0.000 0.000 0.500

#2
# ZrCuBiMo PBE optimized geometry
# Spin magnetization, μB per atom: 0.0002
# Density, g/cm3: 10.114
data_ZrCuBiMo
_cell_length_a 6.708
_cell_length_b 6.708
_cell_length_c 6.708
_cell_angle_alpha 90.00
_cell_angle_beta 90.00
_cell_angle_gamma 90.00
_symmetry_space_group_name_H-M 'F -4 3 m'
_symmetry_Int_Tables_number 216
_symmetry_space_group_name_Hall 'F -4 2 3'
loop_
_atom_site_label
_atom_site_type_symbol
_atom_site_fract_x
_atom_site_fract_y
_atom_site_fract_z
Zr1 Zr 0.000 0.000 0.000
Cu1 Cu 0.250 0.250 0.250
Bi1 Bi 0.000 0.000 0.500
Mo1 Mo 0.250 0.250 0.750

The most stable of them is #1.